# 1
Ac2PaAl3O12 GGA-PBE optimized geometry; VASP energy = -7.54 eV/atom; uncorrected formation energy = -2.623 eV per atom; space-group type = No. 166
1.0
3.4469 1.9900 5.3479
-3.4469 1.9900 5.3479
0.0000 -3.9801 5.3479
Ac Pa Al O
2 1 3 12
Cartesian
0.0000 0.0000 1.7266 Ac
0.0000 0.0000 14.3171 Ac
0.0000 0.0000 8.0218 Pa
-1.7234 -0.9950 5.3479 Al
-1.7234 0.9950 10.6958 Al
0.0000 1.9900 5.3479 Al
-1.9097 -1.1025 7.3002 O
0.0000 -1.5699 5.7618 O
-1.3595 0.7849 5.7618 O
0.0000 -2.2051 8.7435 O
-1.9097 1.1025 8.7435 O
-1.3595 -0.7849 10.2819 O
1.3595 0.7849 5.7618 O
1.9097 -1.1025 7.3002 O
0.0000 2.2051 7.3002 O
1.3595 -0.7849 10.2819 O
0.0000 1.5699 10.2819 O
1.9097 1.1025 8.7435 O

***

# 2
BaLaMnCo2 GGA-PBE optimized geometry; VASP energy = -4.33 eV/atom; space-group type = No. 123; formation energy = 1713 meV/atom
1.0
4.8739 0.0000 0.0000
0.0000 4.8739 0.0000
0.0000 0.0000 4.9023
Ba La Mn Co
1 1 1 2
Cartesian
0.0000 0.0000 0.0000 Ba
2.4369 2.4369 2.4512 La
0.0000 0.0000 2.4512 Mn
0.0000 2.4369 0.0000 Co
2.4369 0.0000 0.0000 Co

***

# 3
SrTa2Ag GGA-PBE optimized geometry; VASP energy = -6.15 eV/atom; space-group type = No. 65; formation energy = 911 meV/atom
1.0
2.8563 -5.3599 0.0000
2.8563 5.3599 0.0000
0.0000 0.0000 2.8552
Sr Ta Ag
1 2 1
Cartesian
0.0000 0.0000 0.0000 Sr
1.4281 2.6800 1.4276 Ta
1.4281 -2.6800 1.4276 Ta
2.8563 0.0000 0.0000 Ag

***

# 4
ScCr2Hg GGA-PBE optimized geometry; VASP energy = -6.04 eV/atom; space-group type = No. 10; formation energy = 435 meV/atom
1.0
2.9806 0.0000 0.0000
0.0000 4.6878 0.0000
-0.2923 0.0000 5.0713
Sc Cr Hg
1 2 1
Cartesian
0.0000 0.0000 0.0000 Sc
0.8134 2.3439 4.1529 Cr
1.8749 2.3439 0.9184 Cr
1.3442 0.0000 2.5356 Hg

***

# 5
ZnCdFe2 GGA-PBE optimized geometry; VASP energy = -4.54 eV/atom; space-group type = No. 12; formation energy = 235 meV/atom
1.0
2.6654 -4.0476 0.0000
2.6654 4.0476 0.0000
-0.0346 0.0000 2.6820
Zn Cd Fe
1 1 2
Cartesian
0.0000 0.0000 0.0000 Zn
2.6654 0.0000 0.0000 Cd
1.3154 2.0238 1.3410 Fe
1.3154 -2.0238 1.3410 Fe

***

# 6
SrTc2Os GGA-PBE optimized geometry; VASP energy = -7.78 eV/atom; space-group type = No. 47; formation energy = 628 meV/atom
1.0
2.8622 0.0000 0.0000
0.0000 3.6921 0.0000
0.0000 0.0000 7.3954
Sr Tc Os
1 2 1
Cartesian
0.0000 0.0000 0.0000 Sr
1.4311 1.8460 2.4294 Tc
1.4311 1.8460 4.9661 Tc
0.0000 0.0000 3.6977 Os

***

# 7
CaVIr GGA-PBE optimized geometry; VASP energy = -6.70 eV/atom; space-group type = No. 12; formation energy = -40 meV/atom
1.0
4.9301 -2.1768 0.0000
4.9301 2.1768 0.0000
-0.9805 0.0000 6.0596
Ca V Ir
2 2 2
Cartesian
0.9534 0.0000 1.9857 Ca
7.9263 0.0000 4.0739 Ca
3.8820 0.0000 0.6526 V
4.9977 0.0000 5.4070 V
1.0645 0.0000 5.0666 Ir
7.8152 0.0000 0.9929 Ir